# PBE-GGA TbSmHo2Tm4, relaxed
data_TbSmHo2Tm4
_space_group_name_H-M_alt 'P 1 2/m 1'
_space_group_IT_number 10
_cell_length_a 4.9832
_cell_length_b 4.9845
_cell_length_c 9.9435
_cell_angle_alpha 90.00
_cell_angle_beta 90.06
_cell_angle_gamma 90.00
loop_
_space_group_symop_operation_xyz
'x,y,z'
'-x,-y,-z'
'-x,y,-z'
'x,-y,z'
loop_
_atom_site_label
_atom_site_type_symbol
_atom_site_fract_x
_atom_site_fract_y
_atom_site_fract_z
_atom_site_occupancy
Tb1 Tb 0.0000 0.0000 0.0000 1
Sm1 Sm 0.5000 0.5000 0.5000 1
Ho1 Ho 0.0000 0.0000 0.5000 1
Ho2 Ho 0.5000 0.5000 0.0000 1
Tm1 Tm 0.0001 0.5000 0.2488 1
Tm2 Tm 0.5001 0.0000 0.2488 1
# Crystal system: monoclinic
# Calculated total energy in eV per atom: -4.525



# PBE-GGA Li7InSb4, relaxed
data_Li7InSb4
_space_group_name_H-M_alt 'C 1 2/m 1'
_space_group_IT_number 12
_cell_length_a 12.3435
_cell_length_b 5.0668
_cell_length_c 10.2852
_cell_angle_alpha 90.00
_cell_angle_beta 124.13
_cell_angle_gamma 90.00
loop_
_space_group_symop_operation_xyz
'x,y,z'
'-x,-y,-z'
'-x,y,-z'
'x,-y,z'
'x+1/2,y+1/2,z'
'-x+1/2,-y+1/2,-z'
'-x+1/2,y+1/2,-z'
'x+1/2,-y+1/2,z'
loop_
_atom_site_label
_atom_site_type_symbol
_atom_site_fract_x
_atom_site_fract_y
_atom_site_fract_z
_atom_site_occupancy
Li1 Li 0.0000 0.0000 0.0000 1
Li2 Li 0.0818 0.5000 0.4366 1
Li3 Li 0.1774 0.0000 0.8962 1
Li4 Li 0.2291 0.0000 0.6433 1
In1 In 0.0000 0.5000 0.0000 1
Sb1 Sb 0.1000 0.0000 0.3101 1
Sb2 Sb 0.2064 0.5000 0.7733 1
# Crystal system: monoclinic
# Energy relative to the lowest polymorph listed for this composition in meV per atom: 17
# ΔE_f (raw) in eV/atom: -0.391



# PBE-GGA ReAs, relaxed
data_ReAs
_space_group_name_H-M_alt 'C 1 m 1'
_space_group_IT_number 8
_cell_length_a 8.7325
_cell_length_b 3.0817
_cell_length_c 7.6922
_cell_angle_alpha 90.00
_cell_angle_beta 114.21
_cell_angle_gamma 90.00
loop_
_space_group_symop_operation_xyz
'x,y,z'
'x,-y,z'
'x+1/2,y+1/2,z'
'x+1/2,-y+1/2,z'
loop_
_atom_site_label
_atom_site_type_symbol
_atom_site_fract_x
_atom_site_fract_y
_atom_site_fract_z
_atom_site_occupancy
Re1 Re 0.0000 0.0000 0.0000 1
Re2 Re 0.0111 0.0000 0.6074 1
Re3 Re 0.4197 0.0000 0.2655 1
As1 As 0.1920 0.5000 0.9163 1
As2 As 0.2210 0.5000 0.3263 1
As3 As 0.3293 0.0000 0.6994 1
# Crystal system: monoclinic
# Energy relative to the lowest polymorph listed for this composition in meV per atom: 130